La6ErTm2 PBE relaxed; raw total energy = -42.6 eV for the cell shown
1.0
3.643 0.000 0.000
-1.822 3.155 0.000
0.000 0.000 27.508
La Er Tm
6 1 2
direct
0.000 0.000 0.067
0.000 0.000 0.276
0.000 0.000 0.724
0.000 0.000 0.933
0.333 0.667 0.395
0.333 0.667 0.605
0.000 0.000 0.500
0.333 0.667 0.171
0.333 0.667 0.829